{
  "formula": "Nd4HgGe2",
  "functional": "PBE",
  "state": "optimized geometry",
  "ef_ev_per_atom": -0.63,
  "space_group": "Fdd2, No. 43",
  "cell": [[7.920, -1.012, -0.154], [-1.584, 7.825, 0.160], [-3.053, -3.518, 6.554]],
  "species": ["Nd", "Nd", "Nd", "Nd", "Nd", "Nd", "Nd", "Nd", "Hg", "Hg", "Ge", "Ge", "Ge", "Ge"],
  "fractional_positions": [[0.007, 0.259, 0.397], [0.387, 0.490, 0.246], [0.862, 0.610, 0.603], [0.740, 0.137, 0.746], [0.391, 0.994, 0.254], [0.244, 0.142, 0.754], [0.509, 0.757, 0.897], [0.860, 0.612, 0.103], [0.250, 0.750, 0.500], [0.000, 0.000, 0.000], [0.493, 0.375, 0.618], [0.757, 0.875, 0.382], [0.625, 0.243, 0.118], [0.125, 0.507, 0.882]]
}

{
  "formula": "Bi2BN",
  "functional": "PBE",
  "state": "optimized geometry",
  "raw_formation_energy_mev_per_atom": 981,
  "space_group": "I-42d, No. 122",
  "e_above_lowest_polymorph_mev_per_atom": 0.0,
  "cell": [[5.478, 0.000, 0.000], [0.000, 5.478, 0.000], [2.739, 2.739, 5.737]],
  "species": ["B", "B", "Bi", "Bi", "Bi", "Bi", "N", "N"],
  "fractional_positions": [[0.500, 0.500, 0.000], [0.250, 0.750, 0.500], [0.632, 0.125, 0.250], [0.118, 0.625, 0.250], [0.375, 0.368, 0.750], [0.875, 0.882, 0.750], [0.000, 0.000, 0.000], [0.750, 0.250, 0.500]]
}

{
  "formula": "AsRuSe",
  "functional": "PBE",
  "state": "optimized geometry",
  "raw_formation_energy_mev_per_atom": -8,
  "space_group": "P3m1, No. 156",
  "cell": [[3.436, 0.000, 0.000], [-1.718, 2.975, 0.000], [0.000, 0.000, 5.448]],
  "species": ["Ru", "As", "Se"],
  "fractional_positions": [[0.667, 0.333, 0.336], [0.000, 0.000, 0.050], [0.333, 0.667, 0.615]]
}

{
  "formula": "Pm3PtSeBr",
  "functional": "PBE",
  "state": "optimized geometry",
  "raw_formation_energy_mev_per_atom": -1169,
  "space_group": "P2_1/m, No. 11",
  "cell": [[-0.911, 2.646, -2.985], [-6.398, 3.078, 4.682], [7.808, 5.451, 2.447]],
  "species": ["Pm", "Pm", "Pm", "Pm", "Pm", "Pm", "Pt", "Pt", "Se", "Se", "Br", "Br"],
  "fractional_positions": [[0.750, 0.903, 0.104], [0.250, 0.097, 0.896], [0.250, 0.700, 0.501], [0.750, 0.300, 0.499], [0.750, 0.439, 0.155], [0.250, 0.561, 0.845], [0.250, 0.675, 0.148], [0.750, 0.325, 0.852], [0.250, 0.195, 0.234], [0.750, 0.805, 0.766], [0.250, 0.113, 0.608], [0.750, 0.887, 0.392]]
}

{
  "formula": "NaRu",
  "functional": "PBE",
  "state": "optimized geometry",
  "ef_ev_per_atom": 1.52,
  "space_group": "P4_2/mnm, No. 136",
  "cell": [[-2.568, 2.488, -4.345], [0.258, -4.811, -2.908], [-5.087, -1.553, 2.117]],
  "species": ["Na", "Na", "Na", "Na", "Ru", "Ru", "Ru", "Ru"],
  "fractional_positions": [[0.673, 0.327, 0.000], [0.173, 0.173, 0.500], [0.827, 0.827, 0.500], [0.327, 0.673, 0.000], [0.853, 0.853, 0.000], [0.353, 0.647, 0.500], [0.647, 0.353, 0.500], [0.147, 0.147, 0.000]]
}

{
  "formula": "Rb2PaPdSe4",
  "functional": "PBE",
  "state": "optimized geometry",
  "raw_formation_energy_mev_per_atom": -915,
  "space_group": "Fddd, No. 70",
  "cell": [[6.378, 0.000, 0.000], [3.189, 7.560, 0.000], [3.189, 0.000, 12.640]],
  "species": ["Rb", "Rb", "Rb", "Rb", "Pa", "Pa", "Pd", "Pd", "Se", "Se", "Se", "Se", "Se", "Se", "Se", "Se"],
  "fractional_positions": [[0.183, 0.000, 0.634], [0.817, 0.000, 0.366], [0.567, 0.500, 0.866], [0.933, 0.500, 0.134], [0.750, 0.500, 0.500], [0.000, 0.000, 0.000], [0.250, 0.500, 0.500], [0.500, 0.000, 0.000], [0.319, 0.784, 0.102], [0.205, 0.216, 0.898], [0.897, 0.784, 0.898], [0.579, 0.216, 0.102], [0.431, 0.716, 0.398], [0.545, 0.284, 0.602], [0.853, 0.716, 0.602], [0.171, 0.284, 0.398]]
}

{
  "formula": "BaHgPS4",
  "functional": "PBE",
  "state": "optimized geometry",
  "raw_formation_energy_mev_per_atom": -718,
  "space_group": "P2_1/m, No. 11",
  "cell": [[7.002, 0.000, 0.799], [0.000, 6.666, 0.000], [-1.876, 0.000, 8.347]],
  "species": ["Ba", "Ba", "Hg", "Hg", "P", "P", "S", "S", "S", "S", "S", "S", "S", "S"],
  "fractional_positions": [[0.766, 0.750, 0.450], [0.234, 0.250, 0.550], [0.711, 0.750, 0.930], [0.289, 0.250, 0.070], [0.230, 0.750, 0.284], [0.770, 0.250, 0.716], [0.942, 0.497, 0.761], [0.058, 0.997, 0.239], [0.058, 0.503, 0.239], [0.942, 0.003, 0.761], [0.460, 0.750, 0.148], [0.540, 0.250, 0.852], [0.325, 0.750, 0.522], [0.675, 0.250, 0.478]]
}

{
  "formula": "EuBiPb",
  "functional": "PBE",
  "state": "optimized geometry",
  "ef_ev_per_atom": -0.36,
  "space_group": "F-43m, No. 216",
  "e_above_lowest_polymorph_mev_per_atom": 51.3,
  "cell": [[-1.867, 5.020, -1.222], [-3.257, 2.656, 3.538], [1.897, 4.376, 2.727]],
  "species": ["Pb", "Eu", "Bi"],
  "fractional_positions": [[0.000, 0.000, 0.000], [0.500, 0.500, 0.500], [0.250, 0.250, 0.250]]
}